Compound: AcMg2Cd6
Source: Alexandria
Functional: PBE
Structure: relaxed Values from VASP.

```
&SYSTEM
  ibrav = 0, nat = 9, ntyp = 3
/
ATOMIC_SPECIES
Ac 227.00 Ac.upf
Mg 24.30 Mg.upf
Cd 112.41 Cd.upf
CELL_PARAMETERS angstrom
8.950 0.000 0.000
-4.475 7.751 0.000
0.000 0.000 3.308
ATOMIC_POSITIONS crystal
Ac 0.000 0.000 0.000
Mg 0.333 0.667 0.000
Mg 0.667 0.333 0.000
Cd 0.000 0.342 0.500
Cd 0.000 0.658 0.500
Cd 0.342 0.000 0.500
Cd 0.342 0.342 0.500
Cd 0.658 0.000 0.500
Cd 0.658 0.658 0.500
```

Calculated values
**Space group**: No. 191
**Raw total energy**: -1.51 eV/atom
**Crystal system**: hexagonal
**Density of states at the Fermi level**: 4.12 states/eV/cell
**Formation energy**: -0.09 eV per atom
**Polymorph energy (0 for the lowest one)**: 0 meV/atom

Compound: AcMg4Cd8
Source: Alexandria
Functional: PBE
Structure: relaxed Values from VASP.

```
&SYSTEM
  ibrav = 0, nat = 13, ntyp = 3
/
ATOMIC_SPECIES
Ac 227.00 Ac.upf
Mg 24.30 Mg.upf
Cd 112.41 Cd.upf
CELL_PARAMETERS angstrom
-5.002 5.002 3.047
5.002 -5.002 3.047
5.002 5.002 -3.047
ATOMIC_POSITIONS crystal
Ac 0.000 0.000 0.000
Mg 0.000 0.000 0.500
Mg 0.000 0.500 0.000
Mg 0.500 0.000 0.000
Mg 0.500 0.500 0.500
Cd 0.000 0.350 0.350
Cd 0.000 0.650 0.650
Cd 0.282 0.500 0.782
Cd 0.350 0.000 0.350
Cd 0.500 0.282 0.782
Cd 0.500 0.718 0.218
Cd 0.650 0.000 0.650
Cd 0.718 0.500 0.218
```

Calculated values
**Space group**: No. 139
**Raw total energy**: -1.57 eV/atom
**Crystal system**: tetragonal
**Density of states at the Fermi level**: 3.42 states/eV/cell
**Formation energy**: -0.20 eV per atom

Compound: Ac2Mg5Cd
Source: Alexandria
Functional: PBE
Structure: relaxed Values from VASP.

```
&SYSTEM
  ibrav = 0, nat = 16, ntyp = 3
/
ATOMIC_SPECIES
Ac 227.00 Ac.upf
Mg 24.30 Mg.upf
Cd 112.41 Cd.upf
CELL_PARAMETERS angstrom
2.552 -9.188 0.000
2.552 9.188 0.000
0.000 0.000 10.220
ATOMIC_POSITIONS crystal
Ac 0.000 0.000 0.000
Ac 0.000 0.000 0.500
Ac 0.197 0.803 0.750
Ac 0.803 0.197 0.250
Mg 0.188 0.812 0.105
Mg 0.188 0.812 0.395
Mg 0.352 0.648 0.029
Mg 0.352 0.648 0.471
Mg 0.398 0.602 0.750
Mg 0.602 0.398 0.250
Mg 0.648 0.352 0.529
Mg 0.648 0.352 0.971
Mg 0.812 0.188 0.605
Mg 0.812 0.188 0.895
Cd 0.448 0.552 0.250
Cd 0.552 0.448 0.750
```

Calculated values
**Space group**: No. 63
**Raw total energy**: -2.22 eV/atom
**Crystal system**: orthorhombic
**Density of states at the Fermi level**: 18.05 states/eV/cell
**Formation energy**: -0.08 eV per atom

Compound: AcMg5Cd2
Source: Alexandria
Functional: PBE
Structure: relaxed Values from VASP.

```
&SYSTEM
  ibrav = 0, nat = 16, ntyp = 3
/
ATOMIC_SPECIES
Ac 227.00 Ac.upf
Mg 24.30 Mg.upf
Cd 112.41 Cd.upf
CELL_PARAMETERS angstrom
4.360 0.000 0.000
0.000 8.591 0.000
0.000 0.000 11.146
ATOMIC_POSITIONS crystal
Ac 0.000 0.000 0.000
Ac 0.500 0.500 0.500
Mg 0.000 0.189 0.354
Mg 0.000 0.189 0.646
Mg 0.000 0.500 0.000
Mg 0.000 0.811 0.354
Mg 0.000 0.811 0.646
Mg 0.500 0.000 0.500
Mg 0.500 0.311 0.146
Mg 0.500 0.311 0.854
Mg 0.500 0.689 0.146
Mg 0.500 0.689 0.854
Cd 0.000 0.500 0.259
Cd 0.000 0.500 0.741
Cd 0.500 0.000 0.241
Cd 0.500 0.000 0.759
```

Calculated values
**Space group**: No. 71
**Raw total energy**: -1.88 eV/atom
**Crystal system**: orthorhombic
**Density of states at the Fermi level**: 7.66 states/eV/cell
**Formation energy**: -0.15 eV per atom

Compound: Ac2Mg15Cd2
Source: Alexandria
Functional: PBE
Structure: relaxed Values from VASP.

```
&SYSTEM
  ibrav = 0, nat = 19, ntyp = 3
/
ATOMIC_SPECIES
Ac 227.00 Ac.upf
Mg 24.30 Mg.upf
Cd 112.41 Cd.upf
CELL_PARAMETERS angstrom
5.200 3.002 5.102
-5.200 3.002 5.102
0.000 -6.005 5.102
ATOMIC_POSITIONS crystal
Ac 0.168 0.168 0.168
Ac 0.832 0.832 0.832
Mg 0.000 0.500 0.500
Mg 0.151 0.151 0.658
Mg 0.151 0.658 0.151
Mg 0.204 0.500 0.796
Mg 0.204 0.796 0.500
Mg 0.342 0.849 0.849
Mg 0.500 0.000 0.500
Mg 0.500 0.204 0.796
Mg 0.500 0.500 0.000
Mg 0.500 0.796 0.204
Mg 0.658 0.151 0.151
Mg 0.796 0.204 0.500
Mg 0.796 0.500 0.204
Mg 0.849 0.342 0.849
Mg 0.849 0.849 0.342
Cd 0.401 0.401 0.401
Cd 0.599 0.599 0.599
```

Calculated values
**Space group**: No. 166
**Raw total energy**: -1.90 eV/atom
**Crystal system**: trigonal
**Density of states at the Fermi level**: 8.01 states/eV/cell
**Formation energy**: -0.11 eV per atom

Compound: AcMg3Cd
Source: Alexandria
Functional: PBE
Structure: relaxed Values from VASP.

```
&SYSTEM
  ibrav = 0, nat = 10, ntyp = 3
/
ATOMIC_SPECIES
Ac 227.00 Ac.upf
Mg 24.30 Mg.upf
Cd 112.41 Cd.upf
CELL_PARAMETERS angstrom
8.849 0.000 0.000
0.000 7.229 0.000
-3.254 0.000 4.287
ATOMIC_POSITIONS crystal
Ac 0.000 0.000 0.000
Ac 0.500 0.500 0.000
Mg 0.309 0.000 0.808
Mg 0.496 0.197 0.496
Mg 0.496 0.803 0.496
Mg 0.809 0.500 0.808
Mg 0.996 0.303 0.496
Mg 0.996 0.697 0.496
Cd 0.202 0.500 0.204
Cd 0.702 0.000 0.204
```

Calculated values
**Space group**: No. 8
**Raw total energy**: -2.07 eV/atom
**Crystal system**: monoclinic
**Density of states at the Fermi level**: 4.04 states/eV/cell
**Formation energy**: -0.11 eV per atom
**Polymorph energy (0 for the lowest one)**: 0 meV/atom

Compound: Ac6MgCd
Source: Alexandria
Functional: PBE
Structure: relaxed Values from VASP.

```
&SYSTEM
  ibrav = 0, nat = 16, ntyp = 3
/
ATOMIC_SPECIES
Ac 227.00 Ac.upf
Mg 24.30 Mg.upf
Cd 112.41 Cd.upf
CELL_PARAMETERS angstrom
5.713 0.000 0.000
0.000 5.713 0.000
0.000 0.000 19.540
ATOMIC_POSITIONS crystal
Ac 0.000 0.000 0.249
Ac 0.000 0.000 0.751
Ac 0.000 0.500 0.108
Ac 0.000 0.500 0.392
Ac 0.000 0.500 0.608
Ac 0.000 0.500 0.892
Ac 0.500 0.000 0.108
Ac 0.500 0.000 0.392
Ac 0.500 0.000 0.608
Ac 0.500 0.000 0.892
Ac 0.500 0.500 0.251
Ac 0.500 0.500 0.749
Mg 0.000 0.000 0.000
Mg 0.500 0.500 0.500
Cd 0.000 0.000 0.500
Cd 0.500 0.500 0.000
```

Calculated values
**Space group**: No. 139
**Raw total energy**: -3.49 eV/atom
**Crystal system**: tetragonal
**Density of states at the Fermi level**: 18.34 states/eV/cell
**Formation energy**: -0.09 eV per atom

Compound: AcMg9Cd2
Source: Alexandria
Functional: PBE
Structure: relaxed Values from VASP.

```
&SYSTEM
  ibrav = 0, nat = 12, ntyp = 3
/
ATOMIC_SPECIES
Ac 227.00 Ac.upf
Mg 24.30 Mg.upf
Cd 112.41 Cd.upf
CELL_PARAMETERS angstrom
10.059 0.000 0.000
-5.029 8.711 0.000
0.000 0.000 3.395
ATOMIC_POSITIONS crystal
Ac 0.000 0.000 0.000
Mg 0.000 0.500 0.000
Mg 0.186 0.371 0.500
Mg 0.186 0.814 0.500
Mg 0.371 0.186 0.500
Mg 0.500 0.000 0.000
Mg 0.500 0.500 0.000
Mg 0.629 0.814 0.500
Mg 0.814 0.186 0.500
Mg 0.814 0.629 0.500
Cd 0.333 0.667 0.000
Cd 0.667 0.333 0.000
```

Calculated values
**Space group**: No. 191
**Raw total energy**: -1.75 eV/atom
**Crystal system**: hexagonal
**Density of states at the Fermi level**: 3.33 states/eV/cell
**Formation energy**: -0.06 eV per atom
**Polymorph energy (0 for the lowest one)**: 63 meV/atom

Please write out number 3 again, unchanged.
Compound: Ac2Mg5Cd
Source: Alexandria
Functional: PBE
Structure: relaxed Values from VASP.

```
&SYSTEM
  ibrav = 0, nat = 16, ntyp = 3
/
ATOMIC_SPECIES
Ac 227.00 Ac.upf
Mg 24.30 Mg.upf
Cd 112.41 Cd.upf
CELL_PARAMETERS angstrom
2.552 -9.188 0.000
2.552 9.188 0.000
0.000 0.000 10.220
ATOMIC_POSITIONS crystal
Ac 0.000 0.000 0.000
Ac 0.000 0.000 0.500
Ac 0.197 0.803 0.750
Ac 0.803 0.197 0.250
Mg 0.188 0.812 0.105
Mg 0.188 0.812 0.395
Mg 0.352 0.648 0.029
Mg 0.352 0.648 0.471
Mg 0.398 0.602 0.750
Mg 0.602 0.398 0.250
Mg 0.648 0.352 0.529
Mg 0.648 0.352 0.971
Mg 0.812 0.188 0.605
Mg 0.812 0.188 0.895
Cd 0.448 0.552 0.250
Cd 0.552 0.448 0.750
```

Calculated values
**Space group**: No. 63
**Raw total energy**: -2.22 eV/atom
**Crystal system**: orthorhombic
**Density of states at the Fermi level**: 18.05 states/eV/cell
**Formation energy**: -0.08 eV per atom

Q: Which formula does entry 4 have?
A: AcMg5Cd2

Q: Look up the density of states at the Fermi level of the third one.
A: 18.05 states/eV/cell

Copy entry 7 word for word.
Compound: Ac6MgCd
Source: Alexandria
Functional: PBE
Structure: relaxed Values from VASP.

```
&SYSTEM
  ibrav = 0, nat = 16, ntyp = 3
/
ATOMIC_SPECIES
Ac 227.00 Ac.upf
Mg 24.30 Mg.upf
Cd 112.41 Cd.upf
CELL_PARAMETERS angstrom
5.713 0.000 0.000
0.000 5.713 0.000
0.000 0.000 19.540
ATOMIC_POSITIONS crystal
Ac 0.000 0.000 0.249
Ac 0.000 0.000 0.751
Ac 0.000 0.500 0.108
Ac 0.000 0.500 0.392
Ac 0.000 0.500 0.608
Ac 0.000 0.500 0.892
Ac 0.500 0.000 0.108
Ac 0.500 0.000 0.392
Ac 0.500 0.000 0.608
Ac 0.500 0.000 0.892
Ac 0.500 0.500 0.251
Ac 0.500 0.500 0.749
Mg 0.000 0.000 0.000
Mg 0.500 0.500 0.500
Cd 0.000 0.000 0.500
Cd 0.500 0.500 0.000
```

Calculated values
**Space group**: No. 139
**Raw total energy**: -3.49 eV/atom
**Crystal system**: tetragonal
**Density of states at the Fermi level**: 18.34 states/eV/cell
**Formation energy**: -0.09 eV per atom